{
  "formula": "NbTl2Bi",
  "functional": "PBE",
  "state": "optimized geometry",
  "lattice": [[8.641, 0.000, 0.000], [0.000, 8.641, 0.000], [0.000, 0.000, 5.936]],
  "species": ["Nb", "Nb", "Nb", "Nb", "Tl", "Tl", "Tl", "Tl", "Tl", "Tl", "Tl", "Tl", "Bi", "Bi", "Bi", "Bi"],
  "frac_coords": [[0.000, 0.000, 0.000], [0.000, 0.500, 0.250], [0.500, 0.000, 0.750], [0.500, 0.500, 0.500], [0.210, 0.250, 0.125], [0.250, 0.710, 0.375], [0.250, 0.790, 0.875], [0.290, 0.250, 0.625], [0.710, 0.750, 0.625], [0.750, 0.210, 0.875], [0.750, 0.290, 0.375], [0.790, 0.750, 0.125], [0.000, 0.000, 0.500], [0.000, 0.500, 0.750], [0.500, 0.000, 0.250], [0.500, 0.500, 0.000]],
  "magmom_total_mub_per_fu": 0.00,
  "ef_ev_per_fu": 2.62,
  "e_above_lowest_polymorph_kcal_per_mol_atoms": 0.00
}